Material: MnRe2B2
Method: DFT, GGA-PBE
State: optimized geometry

a b c (Å): 4.230 4.503 6.111
angles (deg): 111.62 90.00 90.00
Sites, in units of the cell vectors:
Mn  0.000  0.000  0.000
Mn  0.500  0.000  0.000
Re  0.750  0.414  0.828
Re  0.750  0.779  0.558
Re  0.250  0.586  0.172
Re  0.250  0.221  0.442
B  0.750  0.399  0.218
B  0.250  0.182  0.782
B  0.250  0.601  0.782
B  0.750  0.818  0.218

* energy relative to the elements: 0.05 eV/atom
* distance to the lowest polymorph of the same formula: 283 meV per atom